Density functional theory data (PBE) for K3Sc5F12 after structural relaxation.

Lattice parameters (Å, degrees): 12.227 12.227 12.227 109.47 109.47 109.47
Last column: magnetic moment on the atom in μB.
Sites, in units of the cell vectors:
K 0.750 0.375 0.125  0.01
K 0.875 0.750 0.125  0.01
K 0.375 0.750 0.625  0.01
K 0.250 0.125 0.375  0.01
K 0.875 0.125 0.250  0.01
K 0.375 0.625 0.250  0.01
K 0.625 0.375 0.750  0.01
K 0.125 0.875 0.750  0.01
K 0.750 0.875 0.625  0.01
K 0.625 0.250 0.375  0.01
K 0.125 0.250 0.875  0.01
K 0.250 0.625 0.875  0.01
Sc 0.125 0.375 0.250  0.74
Sc 0.000 0.500 0.000  0.31
Sc 0.000 0.000 0.000  0.31
Sc 0.375 0.250 0.125  0.74
Sc 0.500 0.000 0.500  0.31
Sc 0.500 0.500 0.000  0.31
Sc 0.125 0.750 0.375  0.74
Sc 0.750 0.125 0.875  0.74
Sc 0.750 0.625 0.375  0.74
Sc 0.375 0.125 0.750  0.74
Sc 0.625 0.875 0.250  0.74
Sc 0.500 0.500 0.500  0.31
Sc 0.500 0.000 0.000  0.31
Sc 0.000 0.000 0.500  0.31
Sc 0.250 0.375 0.625  0.74
Sc 0.250 0.875 0.125  0.74
Sc 0.000 0.500 0.500  0.31
Sc 0.875 0.250 0.625  0.74
Sc 0.625 0.750 0.875  0.74
Sc 0.875 0.625 0.750  0.74
F 0.680 0.124 0.015  0.02
F 0.336 0.515 0.392  0.02
F 0.985 0.376 0.320  0.02
F 0.515 0.180 0.124  0.02
F 0.556 0.680 0.664  0.02
F 0.985 0.608 0.164  0.02
F 0.336 0.820 0.444  0.02
F 0.108 0.944 0.124  0.02
F 0.608 0.985 0.664  0.02
F 0.680 0.556 0.164  0.02
F 0.820 0.485 0.376  0.02
F 0.836 0.892 0.015  0.02
F 0.124 0.680 0.515  0.02
F 0.376 0.392 0.056  0.02
F 0.056 0.892 0.376  0.02
F 0.444 0.124 0.608  0.02
F 0.056 0.164 0.180  0.02
F 0.485 0.664 0.108  0.02
F 0.836 0.944 0.320  0.02
F 0.124 0.444 0.108  0.02
F 0.376 0.985 0.820  0.02
F 0.608 0.624 0.444  0.02
F 0.892 0.836 0.515  0.02
F 0.820 0.336 0.944  0.02
F 0.392 0.376 0.556  0.02
F 0.108 0.164 0.485  0.02
F 0.180 0.664 0.056  0.02
F 0.164 0.056 0.680  0.02
F 0.624 0.015 0.180  0.02
F 0.876 0.556 0.892  0.02
F 0.515 0.336 0.892  0.02
F 0.556 0.876 0.392  0.02
F 0.944 0.836 0.820  0.02
F 0.944 0.108 0.624  0.02
F 0.876 0.320 0.485  0.02
F 0.164 0.108 0.985  0.02
F 0.624 0.608 0.944  0.02
F 0.392 0.015 0.336  0.02
F 0.320 0.444 0.836  0.02
F 0.180 0.515 0.624  0.02
F 0.892 0.056 0.876  0.02
F 0.664 0.180 0.556  0.02
F 0.485 0.820 0.876  0.02
F 0.015 0.392 0.836  0.02
F 0.444 0.320 0.336  0.02
F 0.015 0.624 0.680  0.02
F 0.664 0.485 0.608  0.02
F 0.320 0.876 0.985  0.02

raw formation energy = -284 kJ/mol of atoms
energy = -5.8122 eV per atom
Fermi-level density of states = 43.22 states/eV per cell
total magnetization = 5.15 μB/f.u.